# 1
Entry from the Alexandria database: a relaxed structure of YCuRu (GGA-PBE).

Space group = I4mm (107)
Polymorph energy (0 for the lowest one) = 236 meV/atom

Unit cell a=5.246 b=5.246 c=5.246 alpha=142.25 beta=142.25 gamma=54.45
Fractional positions:
Y 0.000 0.000 0.000
Cu 0.699 0.699 0.000
Ru 0.313 0.313 0.000

---

# 2
Entry from the Alexandria database: a relaxed structure of Y2CuRu (GGA-PBE).

Space group = F-43m (216)

Unit cell a=4.788 b=4.788 c=4.788 alpha=60.00 beta=60.00 gamma=60.00
Fractional positions:
Y 0.000 0.000 0.000
Y 0.250 0.250 0.250
Cu 0.500 0.500 0.500
Ru 0.750 0.750 0.750

---

# 3
Entry from the Alexandria database: a relaxed structure of YCuRu2 (GGA-PBE).

Space group = Pmm2 (25)
Polymorph energy (0 for the lowest one) = 0 meV/atom

Unit cell a=2.964 b=3.815 c=5.896 alpha=90.00 beta=90.00 gamma=90.00
Fractional positions:
Y 0.000 0.000 0.000
Cu 0.500 0.500 0.277
Ru 0.000 0.000 0.514
Ru 0.500 0.500 0.703

---

Number 1: calculated volume 17.9 Å³/atom, ΔH_f (0 K) -0.051 eV/atom. Number 2: calculated volume 19.4 Å³/atom, ΔH_f (0 K) 0.094 eV/atom. Number 3: calculated volume 16.7 Å³/atom, ΔH_f (0 K) 0.076 eV/atom.